# 1
This record from Alexandria describes a relaxed Ac4HgTe2Ru crystal. The functional is PBE.

Properties
ΔE_f (raw), meV per atom: -835
Calculated total energy, eV/cell: -38.97

Unit cell a=7.9554 b=4.5035 c=8.4416 alpha=90.00 beta=107.29 gamma=90.00
Space group P2/m (No. 10)
Symmetry-distinct sites (fractional):
Ac1 0.2204 0.0000 0.2149 (multiplicity 2)
Ac2 0.2282 0.5000 0.7781 (multiplicity 2)
Hg1 0.5000 0.0000 0.0000 (multiplicity 1)
Te1 0.0000 0.0000 0.5000 (multiplicity 1)
Te2 0.5000 0.5000 0.5000 (multiplicity 1)
Ru1 0.0000 0.5000 0.0000 (multiplicity 1)

# 2
This record from Alexandria describes a relaxed AcTmHgRu crystal. The functional is PBE.

Properties
Calculated total energy, eV/cell: -75.62

Unit cell a=7.3956 b=7.3956 c=7.3956 alpha=90.00 beta=90.00 gamma=90.00
Space group F-43m (No. 216)
Symmetry-distinct sites (fractional):
Ac1 0.0000 0.0000 0.0000 (multiplicity 4)
Tm1 0.0000 0.0000 0.5000 (multiplicity 4)
Hg1 0.2500 0.2500 0.7500 (multiplicity 4)
Ru1 0.2500 0.2500 0.2500 (multiplicity 4)

# 3
This record from Alexandria describes a relaxed Ac2ZnHgRu crystal. The functional is PBE.

Properties
Calculated total energy, eV/cell: -41.16

Unit cell a=7.8497 b=4.4430 c=8.4695 alpha=90.00 beta=108.45 gamma=90.00
Space group P2_1/m (No. 11)
Symmetry-distinct sites (fractional):
Ac1 0.1368 0.2500 0.3481 (multiplicity 2)
Ac2 0.2682 0.2500 0.9522 (multiplicity 2)
Zn1 0.4382 0.7500 0.3053 (multiplicity 2)
Hg1 0.3320 0.7500 0.6606 (multiplicity 2)
Ru1 0.1241 0.7500 0.0959 (multiplicity 2)

# 4
This record from Alexandria describes a relaxed Ac2HgS crystal. The functional is PBE.

Properties
ΔE_f (raw), meV per atom: -980
Calculated total energy, eV/cell: -16.57

Unit cell a=3.7108 b=3.7108 c=8.4611 alpha=90.00 beta=90.00 gamma=90.00
Space group P4/mmm (No. 123)
Symmetry-distinct sites (fractional):
Ac1 0.0000 0.0000 0.2289 (multiplicity 2)
Hg1 0.5000 0.5000 0.5000 (multiplicity 1)
S1 0.5000 0.5000 0.0000 (multiplicity 1)